DFT (PBE with a Hubbard U) results for a relaxed Mg3Fe3O8 crystal.

For the total DFT energy (no corrections), the calculation gives -87.62 eV/f.u.

```
data_Mg3Fe3O8
_space_group_name_H-M_alt 'R -3 m'
_space_group_IT_number 166
_space_group_name_Hall '-R 3 2"'
_cell_length_a 5.9434
_cell_length_b 5.9434
_cell_length_c 14.6759
_cell_angle_alpha 90.00
_cell_angle_beta 90.00
_cell_angle_gamma 120.00
loop_
_atom_site_label
_atom_site_type_symbol
_atom_site_fract_x
_atom_site_fract_y
_atom_site_fract_z
Mg1 Mg 0.0000 0.5000 0.0000
Fe1 Fe 0.0000 0.0000 0.1336
Fe2 Fe 0.0000 0.0000 0.5000
O1 O 0.0000 0.0000 0.2595
O2 O 0.0229 0.5115 0.2452
```